A plane-wave DFT calculation with GGA+U was carried out for a geometry-optimized Ho2MoF11 structure.

Geometry as POSCAR:
```
Ho2MoF11
1.0
7.008 0.000 3.653
3.289 7.281 2.239
0.133 -0.224 8.293
Ho F Mo
4 22 2
Direct
0.862 0.181 0.819 Ho
0.138 0.819 0.181 Ho
0.638 0.681 0.319 Ho
0.362 0.319 0.681 Ho
0.500 0.500 0.500 F
0.740 0.690 0.007 F
0.372 0.720 0.280 F
0.348 0.290 0.418 F
0.128 0.220 0.780 F
0.556 0.210 0.082 F
0.152 0.082 0.210 F
0.628 0.280 0.720 F
0.760 0.493 0.810 F
0.260 0.310 0.993 F
0.937 0.810 0.493 F
0.437 0.993 0.310 F
0.848 0.918 0.790 F
0.056 0.582 0.710 F
0.944 0.418 0.290 F
0.000 0.000 0.000 F
0.652 0.710 0.582 F
0.444 0.790 0.918 F
0.872 0.780 0.220 F
0.063 0.190 0.507 F
0.240 0.507 0.190 F
0.563 0.007 0.690 F
0.750 0.750 0.750 Mo
0.250 0.250 0.250 Mo
```

Computed properties:
As for the density of states at the Fermi level: 0.000 states/eV/cell. The total energy is -166.51 eV per cell. The space-group type is No. 72.